Material: LaGdAlPb
Method: DFT, PBE
State: optimized geometry

Properties
VASP energy ... -111.94 eV for the cell shown

Cell lengths 7.7006, 7.7006, 7.7006 Å; angles 90.00, 90.00, 90.00 degrees
Last column: nearest neighbours and their distance in Å.
Space group F-43m (No. 216)
One atom of each set of equivalent atoms:
La  0.0000  0.0000  0.0000 x4  4 Pb 3.33, 4 Al 3.33
Gd  0.0000  0.0000  0.5000 x4  4 Al 3.33, 4 Pb 3.33
Al  0.2500  0.2500  0.2500 x4  4 La 3.33, 4 Gd 3.33
Pb  0.2500  0.2500  0.7500 x4  4 Gd 3.33, 4 La 3.33

---

Material: PaAlIr2
Method: DFT, PBE
State: optimized geometry

Properties
VASP energy ... -102.77 eV for the cell shown

Cell lengths 4.2680, 4.2680, 13.9696 Å; angles 90.00, 90.00, 120.00 degrees
Last column: nearest neighbours and their distance in Å.
Space group R-3m (No. 166, hexagonal axes)
One atom of each set of equivalent atoms:
Pa  0.0000  0.0000  0.0000 x3  8 Ir 2.92-3.09
Al  0.0000  0.0000  0.5000 x3  6 Ir 2.58
Ir  0.0000  0.0000  0.2216 x6  3 Al 2.58

---

Material: La2Fe2As
Method: DFT, PBE
State: optimized geometry

Properties
VASP energy ... -65.25 eV for the cell shown

Cell lengths 3.6355, 3.6355, 17.0104 Å; angles 90.00, 90.00, 90.00 degrees
Last column: nearest neighbours and their distance in Å.
Space group I4/mmm (No. 139)
One atom of each set of equivalent atoms:
La  0.0000  0.0000  0.1051 x4  4 Fe 3.06, 4 As 3.13
Fe  0.0000  0.5000  0.2500 x4  4 Fe 2.57
As  0.0000  0.0000  0.5000 x2  8 La 3.13

---

Material: ZrTlTc2Pt
Method: DFT, PBE
State: optimized geometry

Properties
VASP energy ... -32.13 eV for the cell shown

Cell lengths 4.8321, 4.8321, 5.0229 Å; angles 90.00, 90.00, 90.00 degrees
Last column: nearest neighbours and their distance in Å.
Space group P4/mmm (No. 123)
One atom of each set of equivalent atoms:
Zr  0.0000  0.0000  0.0000 x1  2 Pt 2.51
Tl  0.5000  0.5000  0.0000 x1  4 Zr 3.42, 8 Tc 3.48
Tc  0.0000  0.5000  0.5000 x2  2 Pt 2.42
Pt  0.0000  0.0000  0.5000 x1  4 Tc 2.42, 2 Zr 2.51

---

Material: Te2RuPtO
Method: DFT, PBE
State: optimized geometry

Properties
VASP energy ... -20.65 eV for the cell shown
Formation energy from raw total energies ... 5.91 eV per formula unit

Cell lengths 5.0671, 5.0671, 4.8401 Å; angles 90.00, 90.00, 90.00 degrees
Last column: nearest neighbours and their distance in Å.
Space group P4/mmm (No. 123)
One atom of each set of equivalent atoms:
Te  0.0000  0.5000  0.0000 x2  2 Ru 2.53
Ru  0.0000  0.0000  0.0000 x1  2 Pt 2.42, 4 Te 2.53
Pt  0.0000  0.0000  0.5000 x1  2 Ru 2.42
O  0.5000  0.5000  0.5000 x1  8 Te 3.50, 4 Pt 3.58

---

Material: Tm6OsRu2
Method: DFT, PBE
State: optimized geometry

Properties
VASP energy ... -237.93 eV for the cell shown

Cell lengths 9.2029, 9.3812, 9.6542 Å; angles 90.00, 90.00, 90.00 degrees
Last column: nearest neighbours and their distance in Å.
Space group Immm (No. 71)
One atom of each set of equivalent atoms:
Tm  0.0000  0.1883  0.2378 x8  2 Ru 2.88-3.12, 2 Os 2.90-3.09
Tm  0.1930  0.5000  0.3337 x8  3 Ru 2.68-2.86
Tm  0.2432  0.3260  0.0000 x8  3 Ru 2.80-3.02, 1 Os 2.87
Os  0.0000  0.0000  0.0000 x2  4 Tm 2.90
Os  0.0000  0.0000  0.5000 x2  8 Tm 2.87-3.09, 2 Ru 3.13
Ru  0.0000  0.3340  0.5000 x4  8 Tm 2.80-2.88, 1 Ru 3.11, 1 Os 3.13
Ru  0.0000  0.5000  0.1258 x4  1 Ru 2.43, 2 Tm 2.68

---

Material: Rb2LaCBr6
Method: DFT, PBE
State: optimized geometry

Properties
VASP energy ... -70.48 eV for the cell shown
Formation energy from raw total energies ... -9.11 eV per formula unit

Cell lengths 7.6163, 7.6163, 12.7687 Å; angles 90.00, 90.00, 90.00 degrees
Last column: nearest neighbours and their distance in Å.
Space group I4/mmm (No. 139)
One atom of each set of equivalent atoms:
Rb  0.0000  0.5000  0.2500 x4  12 Br 3.82-4.18
La  0.0000  0.0000  0.0000 x2  6 Br 2.92
C  0.0000  0.0000  0.5000 x2  4 Br 2.47
Br  0.0000  0.0000  0.2289 x4  1 La 2.92
Br  0.2290  0.2290  0.5000 x8  1 C 2.47

---

Material: NbCo2B2
Method: DFT, PBE
State: optimized geometry

Properties
VASP energy ... -76.13 eV for the cell shown

Cell lengths 6.2221, 6.2221, 2.5561 Å; angles 90.00, 90.00, 90.00 degrees
Last column: nearest neighbours and their distance in Å.
Space group P4/mbm (No. 127)
One atom of each set of equivalent atoms:
Nb  0.0000  0.0000  0.0000 x2  4 B 2.41, 2 Nb 2.56
Co  0.1448  0.3552  0.5000 x4  6 B 2.17-2.30
B  0.1373  0.6373  0.0000 x4  6 Co 2.17-2.30, 2 Nb 2.41, 1 B 2.42

---

Material: ZrAlSi5
Method: DFT, PBE
State: optimized geometry

Properties
VASP energy ... -38.61 eV for the cell shown
Formation energy from raw total energies ... 0.80 eV per formula unit
ΔE to the lowest computed polymorph ... 0.1068 eV per atom

Cell lengths 3.7721, 3.7721, 8.0822 Å; angles 90.00, 90.00, 90.00 degrees
Last column: nearest neighbours and their distance in Å.
Space group P4/mmm (No. 123)
One atom of each set of equivalent atoms:
Zr  0.0000  0.0000  0.0000 x1  8 Si 2.77
Al  0.0000  0.0000  0.5000 x1  12 Si 2.67-2.76
Si  0.0000  0.5000  0.2504 x4  6 Si 2.67-2.76, 2 Al 2.76, 2 Zr 2.77
Si  0.5000  0.5000  0.5000 x1  4 Al 2.67, 8 Si 2.76

---

Material: AcPmDy2Er4
Method: DFT, PBE
State: optimized geometry

Properties
VASP energy ... -130.82 eV for the cell shown

Cell lengths 13.7279, 13.4083, 6.8868 Å; angles 90.00, 120.10, 90.00 degrees
Last column: nearest neighbours and their distance in Å.
Space group C2/c (No. 15)
One atom of each set of equivalent atoms:
Ac  0.2500  0.2500  0.0000 x4  2 Dy 3.44, 6 Er 3.48
Pm  0.0000  0.0000  0.0000 x4  6 Er 3.39-3.47, 2 Pm 3.44
Dy  0.0000  0.5000  0.0000 x4  6 Er 3.31-3.41, 2 Dy 3.44
Dy  0.2500  0.2500  0.5000 x4  6 Er 3.23-3.39, 2 Ac 3.44
Er  0.0000  0.2530  0.0128 x8  2 Er 3.27-3.62, 3 Dy 3.31-3.39, 1 Pm 3.39, 2 Ac 3.48
Er  0.2468  0.4908  0.4955 x8  3 Dy 3.23-3.41, 2 Er 3.45, 2 Pm 3.46-3.47, 1 Ac 3.48

---

Material: K2Tl12Cd
Method: DFT, PBE
State: optimized geometry

Properties
VASP energy ... -62.88 eV for the cell shown

Cell lengths 7.4269, 7.4269, 19.2509 Å; angles 90.00, 90.00, 90.00 degrees
Last column: nearest neighbours and their distance in Å.
Space group P4/nbm (No. 125, origin choice 2)
One atom of each set of equivalent atoms:
K  0.2500  0.7500  0.2480 x4  14 Tl 3.89-4.13
Tl  0.0005  0.9995  0.4117 x8  2 Cd 3.12-3.13, 3 Tl 3.21-3.40
Tl  0.0872  0.5872  0.0665 x8  6 Tl 3.15-3.52
Tl  0.2500  0.2500  0.1536 x4  5 Tl 3.12-3.25
Tl  0.2500  0.2500  0.3158 x4  5 Tl 3.12-3.21
Cd  0.2500  0.7500  0.5000 x2  8 Tl 3.12-3.13

---

Material: Ac2Ce3PmSe6
Method: DFT, PBE
State: optimized geometry

Properties
VASP energy ... -147.08 eV for the cell shown
Formation energy from raw total energies ... -21.86 eV per formula unit

Cell lengths 18.7644, 4.2769, 8.6448 Å; angles 90.00, 103.73, 90.00 degrees
Last column: nearest neighbours and their distance in Å.
Space group C2/m (No. 12)
One atom of each set of equivalent atoms:
Ac  0.1649  0.0000  0.3311 x4  6 Se 3.10-3.13
Ce  0.0000  0.5000  0.5000 x2  6 Se 2.98-3.05
Ce  0.1681  0.0000  0.8350 x4  6 Se 2.97-3.04
Pm  0.0000  0.5000  0.0000 x2  6 Se 3.01-3.03
Se  0.0051  0.0000  0.7538 x4  3 Ce 2.97-3.05, 2 Pm 3.03, 1 Ac 3.10
Se  0.1637  0.5000  0.5927 x4  3 Ce 2.98, 3 Ac 3.12-3.13
Se  0.1652  0.5000  0.0714 x4  3 Ce 2.97-3.04, 1 Pm 3.01, 2 Ac 3.10